Computed, not measured: BeSn2HgTe after structural relaxation at the PBE level of DFT.

Values from the calculation:
Its total energy is -1.96 eV per atom. The value obtained for the uncorrected formation energy is 104 kJ/mol of atoms. The magnetic moment is 0.0 μB/cell.

Unit cell a=5.5945 b=5.5945 c=5.6845 alpha=90.00 beta=90.00 gamma=90.00
With the nearest neighbours (Å) after each atom.
Atoms (fractional coordinates):
Be: 0.0000 0.0000 0.0000  4 Te 3.96, 8 Sn 3.99
Sn: 0.0000 0.5000 0.5000  2 Hg 2.80
Sn: 0.5000 0.0000 0.5000  2 Hg 2.80
Hg: 0.5000 0.5000 0.5000  4 Sn 2.80, 2 Te 2.84
Te: 0.5000 0.5000 0.0000  2 Hg 2.84



Computed, not measured: NdTe2Pd after structural relaxation at the PBE level of DFT.

Values from the calculation:
Its total energy is -4.34 eV per atom. The value obtained for the uncorrected formation energy is -27 kJ/mol of atoms. The magnetic moment is 0.0 μB/cell.

Unit cell a=9.4749 b=9.4749 c=9.4749 alpha=24.18 beta=24.18 gamma=24.18
With the nearest neighbours (Å) after each atom.
Atoms (fractional coordinates):
Nd: 0.0000 0.0000 0.0000  2 Te 3.11
Te: 0.1129 0.1129 0.1129  3 Pd 2.73
Te: 0.8871 0.8871 0.8871  3 Pd 2.73
Pd: 0.5000 0.5000 0.5000  6 Te 2.73



Computed, not measured: Y4Ge2O after structural relaxation at the PBE level of DFT.

Values from the calculation:
Its total energy is -7.06 eV per atom. The value obtained for the uncorrected formation energy is -129 kJ/mol of atoms. The magnetic moment is 0.8 μB/cell.

Unit cell a=8.5305 b=8.5305 c=8.5305 alpha=149.41 beta=149.41 gamma=43.81
With the nearest neighbours (Å) after each atom.
Atoms (fractional coordinates):
Y: 0.0000 0.5000 0.5000  2 O 2.25
Y: 0.1774 0.1774 0.0000  1 O 2.81, 1 Ge 2.95
Y: 0.5000 0.0000 0.5000  2 O 2.25
Y: 0.8226 0.8226 0.0000  1 O 2.81, 1 Ge 2.95
Ge: 0.3636 0.3636 0.0000  9 Y 2.95-3.25
Ge: 0.6364 0.6364 0.0000  9 Y 2.95-3.25
O: 0.0000 0.0000 0.0000  4 Y 2.25



Computed, not measured: HoPu2Sn9 after structural relaxation at the PBE level of DFT.

Values from the calculation:
Its total energy is -6.16 eV per atom. The formation energy is -4.6 eV/f.u. The magnetic moment is 0.0 μB/cell.

Unit cell a=4.6890 b=4.6890 c=13.9451 alpha=90.00 beta=90.00 gamma=90.00
With the nearest neighbours (Å) after each atom.
Atoms (fractional coordinates):
Ho: 0.0000 0.0000 0.0000  12 Sn 3.31-3.32
Pu: 0.0000 0.0000 0.3346  12 Sn 3.29-3.32
Pu: 0.0000 0.0000 0.6654  12 Sn 3.29-3.32
Sn: 0.0000 0.5000 0.1678  8 Sn 3.30-3.32, 2 Pu 3.30, 2 Ho 3.31
Sn: 0.0000 0.5000 0.5000  4 Pu 3.29, 8 Sn 3.30-3.32
Sn: 0.0000 0.5000 0.8322  8 Sn 3.30-3.32, 2 Pu 3.30, 2 Ho 3.31
Sn: 0.5000 0.0000 0.1678  8 Sn 3.30-3.32, 2 Pu 3.30, 2 Ho 3.31
Sn: 0.5000 0.0000 0.5000  4 Pu 3.29, 8 Sn 3.30-3.32
Sn: 0.5000 0.0000 0.8322  8 Sn 3.30-3.32, 2 Pu 3.30, 2 Ho 3.31
Sn: 0.5000 0.5000 0.0000  8 Sn 3.31, 4 Ho 3.32
Sn: 0.5000 0.5000 0.3338  8 Sn 3.30, 4 Pu 3.32
Sn: 0.5000 0.5000 0.6662  8 Sn 3.30, 4 Pu 3.32



Q: The highest magnetic moment belongs to which entry?
A: Y4Ge2O